DFT (PBE+U) results for ZnCrMoF6 after structural relaxation.

Computed properties:
VASP energy: -5.145 eV per atom
DOS at the Fermi energy: 0.482 states/eV/atom

a b c (Å): 5.619 5.619 9.081
angles (deg): 90.00 90.00 120.00
Site moments in Bohr magnetons follow the coordinates.
Fractional coordinates of all 18 atoms:
Zn  0.000  0.000  0.000  0.06
Zn  0.000  0.000  0.500  0.06
Cr  0.333  0.667  0.250  4.50
Cr  0.667  0.333  0.750  4.50
Mo  0.667  0.333  0.250  2.83
Mo  0.333  0.667  0.750  2.83
F  0.694  0.664  0.123  0.03
F  0.970  0.306  0.123  0.03
F  0.306  0.970  0.623  0.03
F  0.030  0.694  0.877  0.03
F  0.336  0.306  0.377  0.03
F  0.970  0.664  0.377  0.03
F  0.664  0.970  0.877  0.03
F  0.694  0.030  0.377  0.03
F  0.030  0.336  0.623  0.03
F  0.336  0.030  0.123  0.03
F  0.664  0.694  0.623  0.03
F  0.306  0.336  0.877  0.03